Entry 1:
Here is a relaxed KPd4 crystal from Alexandria via LeMat-Bulk. Energies are from PBE-GGA.

Results
As for the symmetry: Pm-3m, No. 221. The formation enthalpy at 0 K comes out at 1.55 eV per atom. The value obtained for the total energy is -2.829 eV/atom.

a = 4.8611 Å, b = 4.8611 Å, c = 4.8611 Å
α = 90.00°, β = 90.00°, γ = 90.00°
Fractional coordinates of all 5 atoms:
K  0.0000  0.0000  0.0000
Pd  0.0000  0.0000  0.5000
Pd  0.0000  0.5000  0.0000
Pd  0.5000  0.0000  0.0000
Pd  0.5000  0.5000  0.5000


Entry 2:
Here is a relaxed KPd crystal from Alexandria via LeMat-Bulk. Energies are from PBE-GGA.

Results
As for the symmetry: P6_3/mmc, No. 194. The relative energy among the computed polymorphs comes out at 3.3 kJ/mol of atoms. The formation enthalpy at 0 K comes out at 0.14 eV per atom. The value obtained for the total energy is -3.009 eV/atom.

a = 9.0832 Å, b = 9.0832 Å, c = 4.9809 Å
α = 90.00°, β = 90.00°, γ = 120.00°
Fractional coordinates of all 12 atoms:
K  0.1875  0.3749  0.2500
K  0.1875  0.8125  0.2500
K  0.3749  0.1875  0.7500
K  0.6251  0.8125  0.2500
K  0.8125  0.1875  0.7500
K  0.8125  0.6251  0.7500
Pd  0.1291  0.5645  0.7500
Pd  0.4355  0.5645  0.7500
Pd  0.4355  0.8709  0.7500
Pd  0.5645  0.1291  0.2500
Pd  0.5645  0.4355  0.2500
Pd  0.8709  0.4355  0.2500


Entry 3:
Here is a relaxed K3Pd crystal from Alexandria via LeMat-Bulk. Energies are from PBE-GGA.

Results
As for the symmetry: Pmm2, No. 25. The formation enthalpy at 0 K comes out at 0.19 eV per atom. The value obtained for the total energy is -1.934 eV/atom.

a = 3.9663 Å, b = 4.5704 Å, c = 10.6426 Å
α = 90.00°, β = 90.00°, γ = 90.00°
Fractional coordinates of all 4 atoms:
K  0.0000  0.0000  0.0000
K  0.0000  0.5000  0.3309
K  0.5000  0.5000  0.6561
Pd  0.5000  0.0000  0.4474


Entry 4:
Here is a relaxed K2Pd crystal from Alexandria via LeMat-Bulk. Energies are from PBE-GGA.

Results
As for the symmetry: P4/mmm, No. 123. The formation enthalpy at 0 K comes out at 0.12 eV per atom. The value obtained for the total energy is -2.338 eV/atom.

a = 5.6647 Å, b = 5.6647 Å, c = 3.6076 Å
α = 90.00°, β = 90.00°, γ = 90.00°
Fractional coordinates of all 3 atoms:
K  0.0000  0.5000  0.0000
K  0.5000  0.0000  0.0000
Pd  0.0000  0.0000  0.5000


Entry 5:
Here is a relaxed KPd crystal from Alexandria via LeMat-Bulk. Energies are from PBE-GGA.

Results
As for the symmetry: F-43m, No. 216. The relative energy among the computed polymorphs comes out at 67.7 kJ/mol of atoms. The formation enthalpy at 0 K comes out at 0.80 eV per atom. The value obtained for the total energy is -2.341 eV/atom.

a = 4.9406 Å, b = 4.9406 Å, c = 4.9406 Å
α = 60.00°, β = 60.00°, γ = 60.00°
Fractional coordinates of all 2 atoms:
K  0.0000  0.0000  0.0000
Pd  0.7500  0.7500  0.7500


Entry 6:
Here is a relaxed K5Pd crystal from Alexandria via LeMat-Bulk. Energies are from PBE-GGA.

Results
As for the symmetry: Cmmm, No. 65. The formation enthalpy at 0 K comes out at 0.13 eV per atom. The value obtained for the total energy is -1.649 eV/atom.

a = 9.7375 Å, b = 9.7375 Å, c = 6.3446 Å
α = 90.00°, β = 90.00°, γ = 149.47°
Fractional coordinates of all 6 atoms:
K  0.0000  0.0000  0.0000
K  0.1195  0.8805  0.5000
K  0.3402  0.6598  0.0000
K  0.6598  0.3402  0.0000
K  0.8805  0.1195  0.5000
Pd  0.5000  0.5000  0.5000